# 1
YHgAs2: optimized geometry, PBE.

Values from the calculation:
DFT formation energy	-47	kJ/mol of atoms
DOS at the Fermi energy	0.555	states/eV/atom

abc: 5.992 5.992 5.992
angles: 139.83 139.83 58.11
Fractional positions:
1 Hg 0.500 0.500 0.000
2 As 0.250 0.750 0.500
3 Y 0.750 0.250 0.500
4 As 0.000 0.000 0.000


# 2
YHgAs2: optimized geometry, PBE.

Values from the calculation:
DFT formation energy	-43	kJ/mol of atoms
DOS at the Fermi energy	0.364	states/eV/atom

abc: 5.512 5.512 5.512
angles: 132.82 132.77 68.98
Fractional positions:
1 As 0.000 0.000 0.000
2 Hg 0.750 0.250 0.500
3 Y 0.250 0.750 0.500
4 As 0.500 0.500 0.000


# 3
Y2HgAs: optimized geometry, PBE.

Values from the calculation:
energy above the most stable polymorph in this dataset	2.35	eV/f.u.
DFT formation energy	-35	kJ/mol of atoms
DOS at the Fermi energy	0.546	states/eV/atom

abc: 8.391 8.391 8.391
angles: 28.23 28.23 28.23
Last column: magnetic moment on the atom in μB.
Fractional positions:
1 As 0.496 0.496 0.496  -0.01
2 Y 0.226 0.226 0.226  0.14
3 Y 0.014 0.014 0.014  0.21
4 Hg 0.764 0.764 0.764  0.00


# 4
Y2Hg2As: optimized geometry, PBE.

Values from the calculation:
energy above the most stable polymorph in this dataset	0.55	eV/f.u.
DFT formation energy	-44	kJ/mol of atoms
DOS at the Fermi energy	0.616	states/eV/atom

abc: 7.640 7.640 4.357
angles: 90.00 90.00 90.00
Fractional positions:
1 Hg 0.633 0.133 0.000
2 As 0.000 0.000 0.000
3 Hg 0.367 0.867 0.000
4 Hg 0.133 0.367 0.000
5 Y 0.332 0.168 0.500
6 As 0.500 0.500 0.000
7 Y 0.168 0.668 0.500
8 Y 0.832 0.332 0.500
9 Y 0.668 0.832 0.500
10 Hg 0.867 0.633 0.000


Number 1: E_tot -4.51 eV per atom. Number 2: E_tot -4.47 eV per atom. Number 3: E_tot -4.83 eV per atom. Number 4: E_tot -4.09 eV per atom.